1.
4
Lattice="0.0000 3.5438 3.5438 3.5438 0.0000 3.5438 3.5438 3.5438 0.0000" Properties=species:S:1:pos:R:3 comment="CeGaAgHg | Alexandria via LeMat-Bulk | PBE | relaxed" dos_ef_per_ev_atom=1.417 final_energy_ev_per_atom=-3.322 ef_kj_per_mol_atoms=-28.3 pbc="T T T"
Ce 0.0000 0.0000 0.0000
Ga 1.7719 1.7719 1.7719
Ag 3.5438 3.5438 3.5438
Hg 5.3158 5.3158 5.3158


2.
4
Lattice="0.0000 3.5566 3.5566 3.5566 0.0000 3.5566 3.5566 3.5566 0.0000" Properties=species:S:1:pos:R:3 comment="CeInGaAg | Alexandria via LeMat-Bulk | PBE | relaxed" dos_ef_per_ev_atom=1.583 final_energy_ev_per_atom=-3.957 ef_kj_per_mol_atoms=-30.8 pbc="T T T"
Ce 0.0000 0.0000 0.0000
In 3.5566 3.5566 3.5566
Ga 1.7783 1.7783 1.7783
Ag 5.3349 5.3349 5.3349


3.
4
Lattice="0.0000 3.7556 3.7556 3.7556 0.0000 3.7556 3.7556 3.7556 0.0000" Properties=species:S:1:pos:R:3 comment="LaCeGaAg | Alexandria via LeMat-Bulk | PBE | relaxed" dos_ef_per_ev_atom=2.521 final_energy_ev_per_atom=-4.497 ef_kj_per_mol_atoms=-30.2 pbc="T T T"
La 0.0000 0.0000 0.0000
Ce 3.7556 3.7556 3.7556
Ga 1.8778 1.8778 1.8778
Ag 5.6334 5.6334 5.6334